[1]
{
  "formula": "Ac2HgSe4",
  "functional": "GGA-PBE",
  "state": "optimized geometry",
  "lattice": [[7.228, 0.000, 0.039], [0.000, 7.219, 0.000], [-2.615, 0.000, 8.201]],
  "species": ["Ac", "Ac", "Ac", "Ac", "Hg", "Hg", "Se", "Se", "Se", "Se", "Se", "Se", "Se", "Se"],
  "fractional_positions": [[0.732, 0.750, 0.061], [0.268, 0.250, 0.939], [0.270, 0.250, 0.445], [0.730, 0.750, 0.555], [0.258, 0.750, 0.189], [0.742, 0.250, 0.811], [0.525, 0.480, 0.257], [0.044, 0.750, 0.880], [0.956, 0.250, 0.120], [0.525, 0.020, 0.257], [0.947, 0.250, 0.605], [0.475, 0.980, 0.743], [0.475, 0.520, 0.743], [0.053, 0.750, 0.395]],
  "raw_formation_energy_ev_per_fu": -9.80,
  "spacegroup": "P2_1/m"
}

[2]
{
  "formula": "Ac2HgSe4",
  "functional": "GGA-PBE",
  "state": "optimized geometry",
  "lattice": [[4.737, 0.000, 0.994], [1.995, 8.884, 2.276], [-0.060, 0.390, 12.069]],
  "species": ["Ac", "Ac", "Ac", "Ac", "Hg", "Hg", "Se", "Se", "Se", "Se", "Se", "Se", "Se", "Se"],
  "fractional_positions": [[0.623, 0.209, 0.545], [0.163, 0.472, 0.203], [0.837, 0.528, 0.797], [0.377, 0.791, 0.455], [0.872, 0.079, 0.176], [0.128, 0.921, 0.824], [0.234, 0.151, 0.381], [0.793, 0.349, 0.065], [0.040, 0.194, 0.726], [0.574, 0.503, 0.349], [0.426, 0.497, 0.651], [0.960, 0.806, 0.274], [0.207, 0.651, 0.935], [0.766, 0.849, 0.619]],
  "dos_at_fermi_per_ev_atom": 0.0000,
  "raw_formation_energy_ev_per_fu": -10.48,
  "spacegroup": "C2/m"
}

[3]
{
  "formula": "Ac3Hg5Se12",
  "functional": "GGA-PBE",
  "state": "optimized geometry",
  "lattice": [[14.748, 0.000, 0.000], [-4.916, 13.905, 0.000], [-4.916, -6.952, 12.042]],
  "species": ["Ac", "Ac", "Ac", "Ac", "Ac", "Ac", "Ac", "Ac", "Ac", "Ac", "Ac", "Ac", "Hg", "Hg", "Hg", "Hg", "Hg", "Hg", "Hg", "Hg", "Hg", "Hg", "Hg", "Hg", "Hg", "Hg", "Hg", "Hg", "Hg", "Hg", "Hg", "Hg", "Se", "Se", "Se", "Se", "Se", "Se", "Se", "Se", "Se", "Se", "Se", "Se", "Se", "Se", "Se", "Se", "Se", "Se", "Se", "Se", "Se", "Se", "Se", "Se", "Se", "Se", "Se", "Se", "Se", "Se", "Se", "Se", "Se", "Se", "Se", "Se", "Se", "Se", "Se", "Se", "Se", "Se", "Se", "Se", "Se", "Se", "Se", "Se"],
  "fractional_positions": [[0.750, 0.375, 0.125], [0.875, 0.750, 0.125], [0.375, 0.750, 0.625], [0.250, 0.125, 0.375], [0.875, 0.125, 0.250], [0.375, 0.625, 0.250], [0.625, 0.375, 0.750], [0.125, 0.875, 0.750], [0.750, 0.875, 0.625], [0.625, 0.250, 0.375], [0.125, 0.250, 0.875], [0.250, 0.625, 0.875], [0.125, 0.375, 0.250], [0.000, 0.500, 0.000], [0.000, 0.000, 0.000], [0.375, 0.250, 0.125], [0.500, 0.000, 0.500], [0.500, 0.500, 0.000], [0.125, 0.750, 0.375], [0.750, 0.125, 0.875], [0.750, 0.625, 0.375], [0.375, 0.125, 0.750], [0.625, 0.875, 0.250], [0.500, 0.500, 0.500], [0.500, 0.000, 0.000], [0.000, 0.000, 0.500], [0.250, 0.375, 0.625], [0.250, 0.875, 0.125], [0.000, 0.500, 0.500], [0.875, 0.250, 0.625], [0.625, 0.750, 0.875], [0.875, 0.625, 0.750], [0.714, 0.130, 0.043], [0.328, 0.543, 0.413], [0.957, 0.370, 0.286], [0.543, 0.214, 0.130], [0.584, 0.714, 0.672], [0.957, 0.587, 0.172], [0.328, 0.786, 0.416], [0.087, 0.916, 0.130], [0.587, 0.957, 0.672], [0.714, 0.584, 0.172], [0.786, 0.457, 0.370], [0.828, 0.913, 0.043], [0.130, 0.714, 0.543], [0.370, 0.413, 0.084], [0.084, 0.913, 0.370], [0.416, 0.130, 0.587], [0.084, 0.172, 0.214], [0.457, 0.672, 0.087], [0.828, 0.916, 0.286], [0.130, 0.416, 0.087], [0.370, 0.957, 0.786], [0.587, 0.630, 0.416], [0.913, 0.828, 0.543], [0.786, 0.328, 0.916], [0.413, 0.370, 0.584], [0.087, 0.172, 0.457], [0.214, 0.672, 0.084], [0.172, 0.084, 0.714], [0.630, 0.043, 0.214], [0.870, 0.584, 0.913], [0.543, 0.328, 0.913], [0.584, 0.870, 0.413], [0.916, 0.828, 0.786], [0.916, 0.087, 0.630], [0.870, 0.286, 0.457], [0.172, 0.087, 0.957], [0.630, 0.587, 0.916], [0.413, 0.043, 0.328], [0.286, 0.416, 0.828], [0.214, 0.543, 0.630], [0.913, 0.084, 0.870], [0.672, 0.214, 0.584], [0.457, 0.786, 0.870], [0.043, 0.413, 0.828], [0.416, 0.286, 0.328], [0.043, 0.630, 0.714], [0.672, 0.457, 0.587], [0.286, 0.870, 0.957]],
  "dos_at_fermi_per_ev_atom": 0.8307,
  "raw_formation_energy_ev_per_fu": -13.44,
  "spacegroup": "Ia-3d"
}